## P
A relaxed LiPr2Sn3 crystal. Source: the Alexandria database, functional PBE. Values from VASP.

## Properties
space group = Cm, No. 8
ρ = 6.658 Mg/m³

The structure in Quantum ESPRESSO input format:
```
&SYSTEM
  ibrav = 0, nat = 12, ntyp = 3
/
ATOMIC_SPECIES
Li 6.94 Li.upf
Pr 140.91 Pr.upf
Sn 118.71 Sn.upf
ATOMIC_POSITIONS crystal
Li 0.000 0.000 0.000
Li 0.500 0.500 0.000
Pr 0.277 0.000 0.600
Pr 0.383 0.000 0.219
Pr 0.777 0.500 0.600
Pr 0.883 0.500 0.219
Sn 0.147 0.500 0.183
Sn 0.197 0.500 0.818
Sn 0.483 0.500 0.597
Sn 0.647 0.000 0.183
Sn 0.697 0.000 0.818
Sn 0.983 0.000 0.597
CELL_PARAMETERS angstrom
11.555 0.000 0.000
0.000 4.715 0.000
-4.760 0.000 5.904
```

## Q
A relaxed LiPr2Sn3 crystal. Source: the Alexandria database, functional PBE. Values from VASP.

## Properties
space group = C2/c, No. 15
ρ = 6.450 Mg/m³

The structure in Quantum ESPRESSO input format:
```
&SYSTEM
  ibrav = 0, nat = 12, ntyp = 3
/
ATOMIC_SPECIES
Li 6.94 Li.upf
Pr 140.91 Pr.upf
Sn 118.71 Sn.upf
ATOMIC_POSITIONS crystal
Li 0.131 0.869 0.750
Li 0.869 0.131 0.250
Pr 0.227 0.420 0.901
Pr 0.420 0.227 0.401
Pr 0.580 0.773 0.599
Pr 0.773 0.580 0.099
Sn 0.028 0.228 0.563
Sn 0.228 0.028 0.063
Sn 0.335 0.665 0.250
Sn 0.665 0.335 0.750
Sn 0.772 0.972 0.937
Sn 0.972 0.772 0.437
CELL_PARAMETERS angstrom
5.568 -3.256 0.000
5.568 3.256 0.000
-3.760 0.000 9.159
```

Which of them is most stable? Easy: P.